Record 1
Sc3CdRe | GGA-PBE | relaxed

a b c (Å): 5.066 5.066 5.066
angles (deg): 90.00 90.00 90.00
Positions (direct):
Sc  0.000  0.500  0.000
Sc  0.000  0.000  0.500
Sc  0.500  0.000  0.000
Re  0.000  0.000  0.000
Cd  0.500  0.500  0.500

Computed properties:
The value obtained for the size of the total moment is 0.000 μB per atom. The total energy is -6.25 eV/atom. For the energy above the lowest structure with this stoichiometry, the calculation gives 0 meV/atom. As for the theoretical density: 5.54 g cm⁻³. For the energy relative to the elements, the calculation gives 0.222 eV/atom.

***

Record 2
Sc2CdRe | GGA-PBE | relaxed

a b c (Å): 4.853 4.853 5.849
angles (deg): 83.94 83.94 35.12
Positions (direct):
Cd  0.750  0.750  0.750
Re  0.250  0.250  0.250
Sc  0.995  0.995  0.022
Sc  0.505  0.505  0.478

Computed properties:
The value obtained for the size of the total moment is 0.000 μB per atom. The total energy is -6.35 eV/atom. As for the theoretical density: 8.19 g cm⁻³. For the energy relative to the elements, the calculation gives 0.161 eV/atom.

***

Record 3
ScCdRe3 | GGA-PBE | relaxed

a b c (Å): 4.653 4.653 4.653
angles (deg): 90.00 90.00 90.00
Site moments in Bohr magnetons follow the coordinates.
Positions (direct):
Sc  0.000  0.000  0.000  -0.01
Re  0.000  0.500  0.000  0.15
Re  0.000  0.000  0.500  0.15
Re  0.500  0.000  0.000  0.25
Cd  0.500  0.500  0.500  0.00

Computed properties:
The value obtained for the size of the total moment is 0.119 μB per atom. The total energy is -6.59 eV/atom. For the energy above the lowest structure with this stoichiometry, the calculation gives 0 meV/atom. As for the theoretical density: 11.80 g cm⁻³. For the energy relative to the elements, the calculation gives 2.326 eV/atom.

***

Record 4
ScCd2Re | GGA-PBE | relaxed

a b c (Å): 4.767 4.767 4.767
angles (deg): 60.00 60.00 60.00
Positions (direct):
Cd  0.000  0.000  0.000
Cd  0.250  0.250  0.250
Re  0.500  0.500  0.500
Sc  0.750  0.750  0.750

Computed properties:
The value obtained for the size of the total moment is 0.000 μB per atom. The total energy is -4.80 eV/atom. For the energy above the lowest structure with this stoichiometry, the calculation gives 196 meV/atom. As for the theoretical density: 9.88 g cm⁻³. For the energy relative to the elements, the calculation gives 0.352 eV/atom.

***

Record 5
ScCd2Re | GGA-PBE | relaxed

a b c (Å): 5.092 5.092 5.432
angles (deg): 82.97 82.97 33.03
Positions (direct):
Cd  0.999  0.999  0.011
Cd  0.245  0.245  0.246
Re  0.498  0.498  0.520
Sc  0.758  0.758  0.723

Computed properties:
The value obtained for the size of the total moment is 0.000 μB per atom. The total energy is -4.89 eV/atom. For the energy above the lowest structure with this stoichiometry, the calculation gives 103 meV/atom. As for the theoretical density: 9.94 g cm⁻³. For the energy relative to the elements, the calculation gives 0.259 eV/atom.

***

Record 6
ScCd3Re | GGA-PBE | relaxed

a b c (Å): 5.139 5.139 5.139
angles (deg): 90.00 90.00 90.00
Positions (direct):
Sc  0.500  0.500  0.500
Re  0.000  0.000  0.000
Cd  0.000  0.500  0.000
Cd  0.000  0.000  0.500
Cd  0.500  0.000  0.000

Computed properties:
The value obtained for the size of the total moment is 0.000 μB per atom. The total energy is -3.36 eV/atom. For the energy above the lowest structure with this stoichiometry, the calculation gives 0 meV/atom. As for the theoretical density: 6.95 g cm⁻³. For the energy relative to the elements, the calculation gives 0.944 eV/atom.

***

Record 7
Sc2CdRe | GGA-PBE | relaxed

a b c (Å): 10.052 10.052 10.052
angles (deg): 17.62 17.62 17.62
Site moments in Bohr magnetons follow the coordinates.
Positions (direct):
Cd  0.494  0.494  0.494  0.00
Re  0.748  0.748  0.748  0.29
Sc  0.010  0.010  0.010  0.13
Sc  0.248  0.248  0.248  0.34

Computed properties:
The value obtained for the size of the total moment is 0.268 μB per atom. The total energy is -6.21 eV/atom. As for the theoretical density: 7.94 g cm⁻³. For the energy relative to the elements, the calculation gives 0.296 eV/atom.

***

Record 8
Sc2CdRe | GGA-PBE | relaxed

a b c (Å): 2.913 4.596 5.852
angles (deg): 90.00 90.00 90.00
Positions (direct):
Cd  0.000  0.000  0.491
Re  0.500  0.500  0.782
Sc  0.000  0.000  0.967
Sc  0.500  0.500  0.261

Computed properties:
The value obtained for the size of the total moment is 0.000 μB per atom. The total energy is -6.38 eV/atom. As for the theoretical density: 8.23 g cm⁻³. For the energy relative to the elements, the calculation gives 0.122 eV/atom.

***

Q: Look up the size of the total moment of the fifth one.
A: 0.000 μB per atom

***

Q: Which value of energy relative to the elements does entry 6 give?
A: 0.944 eV/atom

***

Q: The highest size of the total moment belongs to which entry?
A: number 7

***

Please write out number 2 again, unchanged.
Sc2CdRe | GGA-PBE | relaxed

a b c (Å): 4.853 4.853 5.849
angles (deg): 83.94 83.94 35.12
Positions (direct):
Cd  0.750  0.750  0.750
Re  0.250  0.250  0.250
Sc  0.995  0.995  0.022
Sc  0.505  0.505  0.478

Computed properties:
The value obtained for the size of the total moment is 0.000 μB per atom. The total energy is -6.35 eV/atom. As for the theoretical density: 8.19 g cm⁻³. For the energy relative to the elements, the calculation gives 0.161 eV/atom.